## Li4AlSn (PBE)

Data for an optimized crystal structure of Li4AlSn.

Cell and atoms, written as CIF:
```
data_Li4AlSn
_space_group_name_H-M_alt 'I m m m'
_space_group_IT_number 71
_space_group_name_Hall '-I 2 2'
_cell_length_a 4.6095
_cell_length_b 5.6123
_cell_length_c 7.9851
_cell_angle_alpha 90.00
_cell_angle_beta 90.00
_cell_angle_gamma 90.00
loop_
_atom_site_label
_atom_site_type_symbol
_atom_site_fract_x
_atom_site_fract_y
_atom_site_fract_z
Li1 Li 0.0000 0.2489 0.1663
Al1 Al 0.0000 0.5000 0.5000
Sn1 Sn 0.0000 0.0000 0.5000
```

Results
The total energy is -2.830 eV per atom. Its formation energy is -0.2632 eV/atom.